Material: Ba3CeCo2O9
Method: DFT, PBE with a Hubbard U
State: optimized geometry

```
15
Lattice="5.830 0.000 0.000 -2.915 5.049 0.000 0.000 0.000 7.168" Properties=species:S:1:pos:R:3 pbc="T T T"
Co 0.000 3.366 1.146
Co 2.915 1.683 6.022
O 4.291 0.889 4.903
O 1.539 0.889 4.903
O 1.457 2.524 0.000
O 2.915 0.000 0.000
O -1.457 2.524 0.000
O 0.000 1.777 2.265
O -1.376 4.160 2.265
O 1.376 4.160 2.265
O 2.915 3.271 4.903
Ce 0.000 0.000 3.584
Ba 0.000 3.366 4.932
Ba 0.000 0.000 0.000
Ba 2.915 1.683 2.236
```

Values from the calculation:
Space group ... No. 164
DFT total energy ... -6.4986 eV/atom
DOS(E_F) ... 3.53 states/eV/cell